DFT (PBE-GGA) results for a relaxed LaAl12Pd6 crystal.

Computed properties:
Its total energy is -4.902 eV/atom. Its calculated formation energy is -12.150 eV/f.u. The calculation puts the calculated volume at 329.6 Å³/cell. As for the space group: R-3m.

Cell: 7.200 7.200 7.200 Å, 104.52 104.52 104.52°
Fractional coordinates of all 19 atoms:
La  0.000  0.000  0.000
Al  0.885  0.115  0.500
Al  0.848  0.596  0.596
Al  0.596  0.596  0.848
Al  0.404  0.152  0.404
Al  0.404  0.404  0.152
Al  0.152  0.404  0.404
Al  0.115  0.500  0.885
Al  0.500  0.885  0.115
Al  0.115  0.885  0.500
Al  0.885  0.500  0.115
Al  0.500  0.115  0.885
Al  0.596  0.848  0.596
Pd  0.709  0.279  0.279
Pd  0.279  0.279  0.709
Pd  0.279  0.709  0.279
Pd  0.721  0.721  0.291
Pd  0.291  0.721  0.721
Pd  0.721  0.291  0.721